Density functional theory data (GGA+U) for NpFe2BiO6 after structural relaxation.

a b c (Å): 5.5879 5.6334 5.9080
angles (deg): 90.37 117.02 119.58
Space group P1 (No. 1)
Inequivalent atoms, fractional coordinates:
Np: 0.0000 0.0000 0.0000 [1 per cell]
Fe: 0.5848 0.7879 0.3790 [1 per cell]
Fe: 0.6032 0.3174 0.8998 [1 per cell]
Bi: 0.0130 0.5074 0.5215 [1 per cell]
O: 0.1107 0.7106 0.1979 [1 per cell]
O: 0.1240 0.9410 0.7267 [1 per cell]
O: 0.4905 0.3982 0.1890 [1 per cell]
O: 0.5354 0.6100 0.6970 [1 per cell]
O: 0.7823 0.1868 0.7299 [1 per cell]
O: 0.8100 0.0745 0.2173 [1 per cell]

Calculated values
Mass density: 7.89 g cm⁻³
Total moment: 6.0 μB per cell
VASP energy: -76.3 eV for the cell shown